A relaxed BaCdNO crystal. Source: OQMD, functional PBE.

a = 4.4805 Å, b = 4.4805 Å, c = 8.9936 Å
α = 90.00°, β = 90.00°, γ = 90.00°
Last column: nearest neighbours and their distance in Å.
Positions (direct):
1 Ba 0.2500 0.2500 0.1348  4 O 2.55
2 Ba 0.7500 0.7500 0.8652  4 O 2.55
3 Cd 0.2500 0.7500 0.5000  4 N 2.25
4 Cd 0.7500 0.2500 0.5000  4 N 2.25
5 N 0.2500 0.2500 0.4714  4 Cd 2.25
6 N 0.7500 0.7500 0.5286  4 Cd 2.25
7 O 0.2500 0.7500 0.0000  4 Ba 2.55
8 O 0.7500 0.2500 0.0000  4 Ba 2.55

As for the crystal system: tetragonal. As for the energy above the most stable polymorph in this dataset: 36 meV/atom. As for the volume: 22.6 A^3/atom.